# Na12Au (PBE, relaxed)
data_Na12Au
_space_group_name_H-M_alt 'I m -3'
_space_group_IT_number 204
_space_group_name_Hall '-I 2 2 3'
_cell_length_a 9.516
_cell_length_b 9.516
_cell_length_c 9.516
_cell_angle_alpha 90.00
_cell_angle_beta 90.00
_cell_angle_gamma 90.00
loop_
_atom_site_label
_atom_site_type_symbol
_atom_site_fract_x
_atom_site_fract_y
_atom_site_fract_z
_atom_site_occupancy
Na1 Na 0.000 0.303 0.174 1
Au1 Au 0.000 0.000 0.000 1
# M_tot, μB/f.u.: 0.000
# ΔE_f, meV per atom: -34
# V, Å³/cell: 861.7
# Electronic total energy, eV/atom: -1.504



# Na2Au (PBE, relaxed)
data_Na2Au
_space_group_name_H-M_alt 'C m c m'
_space_group_IT_number 63
_space_group_name_Hall '-C 2c 2'
_cell_length_a 5.134
_cell_length_b 8.929
_cell_length_c 6.363
_cell_angle_alpha 90.00
_cell_angle_beta 90.00
_cell_angle_gamma 90.00
loop_
_atom_site_label
_atom_site_type_symbol
_atom_site_fract_x
_atom_site_fract_y
_atom_site_fract_z
_atom_site_occupancy
Na1 Na 0.000 0.000 0.000 1
Na2 Na 0.000 0.335 0.250 1
Au1 Au 0.000 0.332 0.750 1
# M_tot, μB/f.u.: 0.000
# ΔE_f, meV per atom: -237
# V, Å³/cell: 291.7
# Electronic total energy, eV/atom: -2.209



# Na15Au (PBE, relaxed)
data_Na15Au
_space_group_name_H-M_alt 'P -6 m 2'
_space_group_IT_number 187
_space_group_name_Hall 'P -6 2'
_cell_length_a 7.3192
_cell_length_b 7.3192
_cell_length_c 11.5998
_cell_angle_alpha 90.00
_cell_angle_beta 90.00
_cell_angle_gamma 120.00
loop_
_atom_site_label
_atom_site_type_symbol
_atom_site_fract_x
_atom_site_fract_y
_atom_site_fract_z
_atom_site_occupancy
Na1 Na 0.0000 0.0000 0.0000 1
Na2 Na 0.0109 0.5055 0.5000 1
Na3 Na 0.3145 0.1573 0.2750 1
Na4 Na 0.3333 0.6667 0.2395 1
Na5 Na 0.5047 0.0094 0.0000 1
Au1 Au 0.0000 0.0000 0.5000 1
# M_tot, μB/f.u.: 0.000
# ΔE_f, meV per atom: -18
# V, Å³/cell: 538.2
# Electronic total energy, eV/atom: -1.460